1.
DFT (GGA-PBE) results for crystalline BaSbW2 at its relaxed geometry.

a = 3.3676 Å, b = 3.3676 Å, c = 8.4681 Å
α = 90.00°, β = 90.00°, γ = 90.00°
Closest atoms and distances in Å follow each position.
Sites, in units of the cell vectors:
W  0.5000  0.5000  0.1750  4 W 2.69
Sb  0.5000  0.5000  0.8182  5 W 2.97-3.02
Ba  0.0000  0.0000  0.4789  4 Ba 3.37, 4 W 3.51, 4 Sb 3.73
W  0.0000  0.0000  0.0280  4 W 2.69, 4 Sb 2.97

Computed properties:
* volume: 24.0 Å³/atom
* formation energy (no corrections): 0.399 eV/atom
* SG: P4mm
* raw total energy: -30.354 eV/cell

2.
DFT (GGA-PBE) results for crystalline K5Rb3I8 at its relaxed geometry.

a = 10.2848 Å, b = 10.2848 Å, c = 10.3067 Å
α = 60.07°, β = 60.07°, γ = 60.00°
Closest atoms and distances in Å follow each position.
Sites, in units of the cell vectors:
K  0.0000  0.0000  0.0000  6 I 3.64
K  0.5000  0.5000  0.5000  6 I 3.64
K  0.5000  0.0000  0.0000  6 I 3.58-3.59
Rb  0.0000  0.0000  0.5000  6 I 3.69-3.70
K  0.0000  0.5000  0.0000  6 I 3.58-3.59
I  0.7461  0.7461  0.7616  3 K 3.58, 3 Rb 3.70
K  0.5000  0.5000  0.0000  6 I 3.58-3.59
Rb  0.5000  0.0000  0.5000  6 I 3.69-3.70
Rb  0.0000  0.5000  0.5000  6 I 3.69-3.70
I  0.7426  0.2500  0.7574  4 K 3.59-3.64, 2 Rb 3.69
I  0.2500  0.2500  0.7574  4 K 3.59-3.64, 2 Rb 3.69
I  0.7500  0.2574  0.2426  4 K 3.59-3.64, 2 Rb 3.69
I  0.2574  0.7500  0.2426  4 K 3.59-3.64, 2 Rb 3.69
I  0.2539  0.2539  0.2384  3 K 3.58, 3 Rb 3.70
I  0.7500  0.7500  0.2426  4 K 3.59-3.64, 2 Rb 3.69
I  0.2500  0.7426  0.7574  4 K 3.59-3.64, 2 Rb 3.69

Computed properties:
* volume: 48.2 Å³/atom
* formation energy (no corrections): -1.488 eV/atom
* SG: R-3m
* raw total energy: -44.596 eV/cell

3.
DFT (GGA-PBE) results for crystalline Mn5CdPd6 at its relaxed geometry.

a = 4.2607 Å, b = 6.8765 Å, c = 7.5469 Å
α = 117.10°, β = 106.40°, γ = 90.00°
Closest atoms and distances in Å follow each position.
Sites, in units of the cell vectors:
Mn  0.6628  0.1628  0.3256  8 Pd 2.69-2.78, 2 Cd 2.97, 2 Mn 3.00
Mn  0.3372  0.8372  0.6744  8 Pd 2.69-2.78, 2 Cd 2.97, 2 Mn 3.00
Pd  0.1699  0.4303  0.3399  7 Mn 2.69-2.78, 1 Cd 2.81, 2 Pd 2.95
Pd  0.5000  0.7317  0.0000  6 Mn 2.66-2.78, 2 Cd 2.82
Pd  0.1699  0.9095  0.3399  7 Mn 2.69-2.78, 1 Cd 2.81, 2 Pd 2.95
Mn  0.3291  0.3291  0.6582  8 Pd 2.69-2.71, 2 Mn 3.00
Pd  0.8301  0.0905  0.6601  7 Mn 2.69-2.78, 1 Cd 2.81, 2 Pd 2.95
Cd  0.0000  0.0000  0.0000  8 Pd 2.81-2.82, 4 Mn 2.97
Pd  0.5000  0.2683  0.0000  6 Mn 2.66-2.78, 2 Cd 2.82
Mn  0.0000  0.5000  0.0000  8 Pd 2.66-2.72
Mn  0.6709  0.6709  0.3418  8 Pd 2.69-2.71, 2 Mn 3.00
Pd  0.8301  0.5697  0.6601  7 Mn 2.69-2.78, 1 Cd 2.81, 2 Pd 2.95

Computed properties:
* volume: 15.6 Å³/atom
* SG: Immm
* formation energy from the elements: -2.653 eV/f.u.
* raw total energy: -80.573 eV/cell

4.
DFT (GGA-PBE) results for crystalline CdPt2Rh2 at its relaxed geometry.

a = 7.7198 Å, b = 7.7198 Å, c = 2.8042 Å
α = 90.00°, β = 90.00°, γ = 90.00°
Closest atoms and distances in Å follow each position.
Sites, in units of the cell vectors:
Pt  0.6251  0.1251  0.0000  6 Rh 2.60-2.73, 3 Pt 2.73-2.80
Pt  0.3749  0.8749  0.0000  6 Rh 2.60-2.73, 3 Pt 2.73-2.80
Pt  0.8749  0.6251  0.0000  6 Rh 2.60-2.73, 3 Pt 2.73-2.80
Rh  0.3261  0.1739  0.5000  6 Pt 2.60-2.73, 2 Rh 2.80
Rh  0.1739  0.6739  0.5000  6 Pt 2.60-2.73, 2 Rh 2.80
Pt  0.1251  0.3749  0.0000  6 Rh 2.60-2.73, 3 Pt 2.73-2.80
Cd  0.5000  0.5000  0.0000  2 Cd 2.80, 4 Pt 3.05
Rh  0.8261  0.3261  0.5000  6 Pt 2.60-2.73, 2 Rh 2.80
Cd  0.0000  0.0000  0.0000  2 Cd 2.80, 4 Pt 3.05
Rh  0.6739  0.8261  0.5000  6 Pt 2.60-2.73, 2 Rh 2.80

Computed properties:
* energy relative to the lowest polymorph listed for this composition: 1 meV per atom
* volume: 16.7 Å³/atom
* SG: P4/mbm
* formation energy from the elements: 0.343 eV/f.u.
* raw total energy: -54.714 eV/cell